# 1
Material: LaSc2ZnAu
Method: DFT, meta-GGA SCAN
State: PBEsol geometry

Cell: 5.1585 5.1585 5.6161 Å, 90.00 90.00 90.00°
Closest atoms and distances in Å follow each position.
Fractional coordinates of all 5 atoms:
La 0.0000 0.0000 0.5000  2 Au 2.81
Zn 0.5000 0.5000 0.5000  4 La 3.65, 8 Sc 3.81
Sc 0.5000 0.0000 0.0000  2 Au 2.58
Sc 0.0000 0.5000 0.0000  2 Au 2.58
Au 0.0000 0.0000 0.0000  4 Sc 2.58, 2 La 2.81

## Properties
E_form   -0.1 eV/f.u.

# 2
Material: KGeSbO5
Method: DFT, meta-GGA SCAN
State: PBEsol geometry

Cell: 6.6229 10.8386 13.2961 Å, 90.00 90.00 90.00°
Closest atoms and distances in Å follow each position.
Fractional coordinates of all 64 atoms:
Sb 0.7568 0.2550 0.2549  6 O 1.97-2.02
Sb 0.5076 0.0003 0.3833  6 O 1.98-2.02
Sb 0.4924 0.5003 0.6167  6 O 1.98-2.02
Sb 0.7432 0.2550 0.7549  6 O 1.97-2.02
Sb 0.9924 0.0003 0.8833  6 O 1.98-2.02
Sb 0.2432 0.7550 0.7451  6 O 1.97-2.02
Sb 0.2568 0.7550 0.2451  6 O 1.97-2.02
Sb 0.0076 0.5003 0.1167  6 O 1.98-2.02
K 0.2035 0.4390 0.3893  5 O 2.67-2.95
K 0.2284 0.1954 0.6192  6 O 2.66-2.95
K 0.7965 0.9390 0.6107  5 O 2.67-2.95
K 0.2965 0.4390 0.8893  5 O 2.67-2.95
K 0.7716 0.6954 0.3808  6 O 2.66-2.95
K 0.7284 0.6954 0.8808  6 O 2.66-2.95
K 0.7035 0.9390 0.1107  5 O 2.67-2.95
K 0.2716 0.1954 0.1192  6 O 2.66-2.95
O 0.5391 0.1240 0.7335  1 Ge 1.77
O 0.1551 0.7697 0.6011  1 Ge 1.76
O 0.0391 0.6240 0.7665  1 Ge 1.77
O 0.9601 0.1140 0.9986  1 Ge 1.76
O 0.9575 0.1291 0.7795  2 Sb 1.98-2.00
O 0.9609 0.1240 0.2335  1 Ge 1.77
O 0.6551 0.2697 0.8989  1 Ge 1.76
O 0.4753 0.8757 0.2751  2 Sb 1.98-1.99
O 0.9509 0.3839 0.7721  1 Ge 1.77, 1 Sb 1.97
O 0.2872 0.0325 0.8994  1 Ge 1.75
O 0.0425 0.6291 0.2205  2 Sb 1.98-2.00
O 0.8051 0.9624 0.3939  1 Ge 1.75
O 0.6656 0.2403 0.1103  1 Ge 1.76
O 0.9995 0.8672 0.9872  1 Ge 1.75
O 0.7872 0.5325 0.6006  1 Ge 1.75
O 0.7128 0.5325 0.1006  1 Ge 1.75
O 0.4609 0.6240 0.2665  1 Ge 1.77
O 0.4601 0.6140 0.5014  1 Ge 1.76
O 0.5399 0.1140 0.4986  1 Ge 1.76
O 0.4995 0.3672 0.5128  1 Ge 1.75
O 0.5491 0.3839 0.2721  1 Ge 1.77, 1 Sb 1.97
O 0.3449 0.7697 0.1011  1 Ge 1.76
O 0.0399 0.6140 0.0014  1 Ge 1.76
O 0.1949 0.4624 0.6061  1 Ge 1.75
O 0.9753 0.3757 0.2249  2 Sb 1.98-1.99
O 0.5005 0.8672 0.4872  1 Ge 1.75
O 0.8449 0.2697 0.3989  1 Ge 1.76
O 0.4509 0.8839 0.7279  1 Ge 1.77, 1 Sb 1.97
O 0.0005 0.3672 0.0128  1 Ge 1.75
O 0.5247 0.3757 0.7249  2 Sb 1.98-1.99
O 0.3344 0.7403 0.8897  1 Ge 1.76
O 0.3051 0.4624 0.1061  1 Ge 1.75
O 0.8344 0.2403 0.6103  1 Ge 1.76
O 0.0491 0.8839 0.2279  1 Ge 1.77, 1 Sb 1.97
O 0.6949 0.9624 0.8939  1 Ge 1.75
O 0.1656 0.7403 0.3897  1 Ge 1.76
O 0.2128 0.0325 0.3994  1 Ge 1.75
O 0.4575 0.6291 0.7205  2 Sb 1.98-2.00
O 0.5425 0.1291 0.2795  2 Sb 1.98-2.00
O 0.0247 0.8757 0.7751  2 Sb 1.98-1.99
Ge 0.9886 0.5020 0.6821  4 O 1.75-1.77
Ge 0.3177 0.7512 0.4979  4 O 1.75-1.76
Ge 0.5114 0.5020 0.1821  4 O 1.75-1.77
Ge 0.8177 0.2512 0.0021  4 O 1.75-1.76
Ge 0.6823 0.2512 0.5021  4 O 1.75-1.76
Ge 0.1823 0.7512 0.9979  4 O 1.75-1.76
Ge 0.0114 0.0020 0.3179  4 O 1.75-1.77
Ge 0.4886 0.0020 0.8179  4 O 1.75-1.77

## Properties
E_form (uncorrected)   -1.83 eV/atom

# 3
Material: Sc3Tc
Method: DFT, meta-GGA SCAN
State: PBEsol geometry

Cell: 3.2386 3.2386 7.7408 Å, 90.00 90.00 90.00°
Closest atoms and distances in Å follow each position.
Fractional coordinates of all 4 atoms:
Sc 0.0000 0.0000 0.6939  4 Tc 2.74, 1 Sc 3.00
Sc 0.0000 0.0000 0.3061  4 Tc 2.74, 1 Sc 3.00
Sc 0.5000 0.5000 0.0000  12 Sc 3.24-3.30
Tc 0.5000 0.5000 0.5000  8 Sc 2.74

## Properties
E_form   -0.5 eV/f.u.

# 4
Material: Sc5As3
Method: DFT, meta-GGA SCAN
State: PBEsol geometry

Cell: 5.6032 7.8646 7.8646 Å, 120.00 90.00 90.00°
Closest atoms and distances in Å follow each position.
Fractional coordinates of all 16 atoms:
As 0.7500 0.6136 0.0000  7 Sc 2.67-2.86
As 0.2500 0.6136 0.6136  7 Sc 2.67-2.86
As 0.7500 0.3864 0.3864  7 Sc 2.67-2.86
As 0.2500 0.3864 0.0000  7 Sc 2.67-2.86
As 0.7500 0.0000 0.6136  7 Sc 2.67-2.86
As 0.2500 0.0000 0.3864  7 Sc 2.67-2.86
Sc 0.7500 0.2495 0.0000  3 As 2.67-2.86
Sc 0.5000 0.6667 0.3333  2 Sc 2.80, 6 As 2.81
Sc 0.0000 0.3333 0.6667  2 Sc 2.80, 6 As 2.81
Sc 0.0000 0.6667 0.3333  2 Sc 2.80, 6 As 2.81
Sc 0.2500 0.0000 0.7505  3 As 2.67-2.86
Sc 0.2500 0.7505 0.0000  3 As 2.67-2.86
Sc 0.7500 0.7505 0.7505  3 As 2.67-2.86
Sc 0.5000 0.3333 0.6667  2 Sc 2.80, 6 As 2.81
Sc 0.2500 0.2495 0.2495  3 As 2.67-2.86
Sc 0.7500 0.0000 0.2495  3 As 2.67-2.86

## Properties
E_form   -9.7 eV/f.u.

# 5
Material: Sc4Be
Method: DFT, meta-GGA SCAN
State: PBEsol geometry

Cell: 5.2485 5.2485 5.2485 Å, 109.47 109.47 109.47°
Closest atoms and distances in Å follow each position.
Fractional coordinates of all 5 atoms:
Sc 0.0000 0.0000 0.5000  2 Be 2.62
Sc 0.5000 0.0000 0.0000  2 Be 2.62
Sc 0.5000 0.5000 0.5000  2 Be 2.62
Sc 0.0000 0.5000 0.0000  2 Be 2.62
Be 0.0000 0.0000 0.0000  8 Sc 2.62

## Properties
E_form   2.4 eV/f.u.

# 6
Material: Ba2SmGaTe5
Method: DFT, meta-GGA SCAN
State: PBEsol geometry

Cell: 7.7417 9.1963 9.9812 Å, 103.43 103.03 107.39°
Closest atoms and distances in Å follow each position.
Fractional coordinates of all 18 atoms:
Te 0.9832 0.1600 0.6769  1 Ga 2.62
Te 0.3072 0.5936 0.0606  2 Sm 3.05-3.06
Te 0.2982 0.0917 0.0684  1 Ga 2.72
Te 0.7018 0.9083 0.9316  1 Ga 2.72
Te 0.4797 0.7393 0.4892  1 Ga 2.58
Te 0.0168 0.8400 0.3231  1 Ga 2.62
Te 0.9833 0.6694 0.6730  1 Ga 2.62
Te 0.0167 0.3306 0.3270  1 Ga 2.62
Te 0.5203 0.2607 0.5108  1 Ga 2.58
Te 0.6928 0.4064 0.9394  2 Sm 3.05-3.06
Ba 0.3582 0.0178 0.7062  8 Te 3.44-3.77
Ba 0.3549 0.5146 0.7119  8 Te 3.45-3.78
Ba 0.6418 0.9822 0.2938  8 Te 3.44-3.77
Ba 0.6451 0.4854 0.2881  8 Te 3.45-3.78
Sm 0.0007 0.2652 0.0018  6 Te 3.05-3.21
Sm 0.9993 0.7348 0.9982  6 Te 3.05-3.21
Ga 0.1920 0.1264 0.3119  4 Te 2.58-2.72
Ga 0.8080 0.8736 0.6881  4 Te 2.58-2.72

## Properties
E_form (uncorrected)   -1.45 eV/atom

# 7
Material: Li3In
Method: DFT, meta-GGA SCAN
State: PBEsol geometry

Cell: 4.6410 4.6410 4.6410 Å, 60.00 60.00 60.00°
Closest atoms and distances in Å follow each position.
Fractional coordinates of all 4 atoms:
Li 0.2500 0.2500 0.2500  4 In 2.84, 4 Li 2.84
Li 0.5000 0.5000 0.5000  8 Li 2.84
Li 0.7500 0.7500 0.7500  4 Li 2.84, 4 In 2.84
In 0.0000 0.0000 0.0000  8 Li 2.84

## Properties
Energy above the most stable polymorph in this dataset   0.0 kJ/mol of atoms
E_form   -1.3 eV/f.u.

# 8
Material: CaSc2Se
Method: DFT, meta-GGA SCAN
State: PBEsol geometry

Cell: 4.2083 4.2083 6.0795 Å, 110.25 110.25 90.00°
Closest atoms and distances in Å follow each position.
Fractional coordinates of all 4 atoms:
Se 0.5000 0.5000 0.0000  4 Ca 2.98
Sc 0.2500 0.7500 0.5000  4 Sc 2.98
Sc 0.7500 0.2500 0.5000  4 Sc 2.98
Ca 0.0000 0.0000 0.0000  4 Se 2.98

## Properties
E_form (uncorrected)   -0.44 eV/atom

no.,total magnetic moment (Bohr magnetons per cell)
1,1.86
2,0.00
3,0.27
4,2.02
5,2.37
6,0.00
7,0.00
8,1.76